[1]
The following is a DFT calculation (GGA-PBE) of crystalline SrCu2F11 at its relaxed geometry.

a b c (Å): 9.190 8.359 8.359
angles (deg): 66.72 56.65 56.65
Site moments in Bohr magnetons follow the coordinates.
Element x y z (fractional)
Sr (0.750, 0.750, 0.750)  0.00
Sr (0.250, 0.250, 0.250)  0.00
Cu (0.712, 0.712, 0.288)  0.24
Cu (0.288, 0.288, 0.712)  0.24
Cu (0.788, 0.212, 0.788)  0.24
Cu (0.212, 0.788, 0.212)  0.24
F (0.678, 0.726, 0.514)  0.03
F (0.322, 0.274, 0.486)  0.03
F (0.082, 0.514, 0.726)  0.03
F (0.822, 0.986, 0.774)  0.03
F (0.918, 0.486, 0.274)  0.03
F (0.178, 0.014, 0.226)  0.03
F (0.418, 0.774, 0.986)  0.03
F (0.582, 0.226, 0.014)  0.03
F (0.500, 0.500, 0.500)  -0.01
F (0.000, 0.000, 0.000)  -0.01
F (0.864, 0.864, 0.136)  0.23
F (0.136, 0.136, 0.864)  0.23
F (0.636, 0.364, 0.636)  0.23
F (0.364, 0.636, 0.364)  0.23
F (0.486, 0.918, 0.321)  0.03
F (0.514, 0.082, 0.679)  0.03
F (0.275, 0.321, 0.918)  0.03
F (0.014, 0.179, 0.582)  0.03
F (0.725, 0.679, 0.082)  0.03
F (0.986, 0.821, 0.418)  0.03
F (0.225, 0.582, 0.179)  0.03
F (0.775, 0.418, 0.821)  0.03

Calculated values
uncorrected formation energy	-22.05	eV/f.u.

=====

[2]
The following is a DFT calculation (GGA-PBE) of crystalline YThInRu at its relaxed geometry.

a b c (Å): 5.179 5.179 5.179
angles (deg): 60.00 60.00 60.00
Element x y z (fractional)
Y (0.500, 0.500, 0.500)
Ru (0.750, 0.750, 0.750)
Th (0.000, 0.000, 0.000)
In (0.250, 0.250, 0.250)

Calculated values
energy relative to the elements	-0.23	eV per atom

=====

[3]
The following is a DFT calculation (GGA-PBE) of crystalline PaAs2PdRh5 at its relaxed geometry.

a b c (Å): 4.790 4.790 6.900
angles (deg): 90.00 90.00 90.00
Element x y z (fractional)
Pa (0.000, 0.000, 0.000)
As (0.500, 0.500, 0.170)
As (0.500, 0.500, 0.830)
Pd (0.000, 0.000, 0.500)
Rh (0.000, 0.500, 0.218)
Rh (0.500, 0.000, 0.218)
Rh (0.000, 0.500, 0.782)
Rh (0.500, 0.000, 0.782)
Rh (0.500, 0.500, 0.500)

Calculated values
energy relative to the elements	-0.19	eV per atom

=====

[4]
The following is a DFT calculation (GGA-PBE) of crystalline Ti2Nb2C3 at its relaxed geometry.

a b c (Å): 3.131 5.405 5.342
angles (deg): 99.10 107.04 90.00
Element x y z (fractional)
Ti (0.627, 0.889, 0.253)
Ti (0.373, 0.111, 0.747)
Nb (0.869, 0.633, 0.738)
Nb (0.131, 0.367, 0.262)
C (0.000, 0.000, 0.000)
C (0.750, 0.245, 0.501)
C (0.250, 0.755, 0.499)

Calculated values
energy relative to the elements	-0.68	eV per atom

=====

[5]
The following is a DFT calculation (GGA-PBE) of crystalline La4Al3Ga at its relaxed geometry.

a b c (Å): 4.603 4.324 11.659
angles (deg): 90.00 90.00 90.00
Element x y z (fractional)
Al (0.000, 0.500, 0.565)
Al (0.000, 0.000, 0.433)
Al (0.500, 0.000, 0.937)
Ga (0.500, 0.500, 0.068)
La (0.500, 0.500, 0.354)
La (0.000, 0.500, 0.860)
La (0.000, 0.000, 0.141)
La (0.500, 0.000, 0.643)

Calculated values
energy relative to the elements	-0.42	eV per atom

=====

[6]
The following is a DFT calculation (GGA-PBE) of crystalline NbTe3H at its relaxed geometry.

a b c (Å): 4.713 4.713 4.713
angles (deg): 90.00 90.00 90.00
Site moments in Bohr magnetons follow the coordinates.
Element x y z (fractional)
H (0.000, 0.000, 0.000)  0.00
Nb (0.500, 0.500, 0.500)  2.05
Te (0.000, 0.500, 0.000)  -0.05
Te (0.000, 0.000, 0.500)  -0.03
Te (0.500, 0.000, 0.000)  -0.04

Calculated values
polymorph energy (0 for the lowest one)	931.7	meV/atom

=====

[7]
The following is a DFT calculation (GGA-PBE) of crystalline Tm3TcTe at its relaxed geometry.

a b c (Å): 4.340 6.198 10.482
angles (deg): 94.33 90.00 110.49
Element x y z (fractional)
Tm (0.054, 0.108, 0.362)
Tm (0.946, 0.892, 0.638)
Tm (0.415, 0.831, 0.137)
Tm (0.585, 0.169, 0.863)
Tm (0.235, 0.470, 0.642)
Tm (0.765, 0.530, 0.358)
Tc (0.581, 0.161, 0.585)
Tc (0.419, 0.839, 0.415)
Te (0.861, 0.722, 0.906)
Te (0.139, 0.278, 0.094)

Calculated values
polymorph energy (0 for the lowest one)	55.9	meV/atom
uncorrected formation energy	-2.46	eV/f.u.

=====

[8]
The following is a DFT calculation (GGA-PBE) of crystalline Cs2HgPtI at its relaxed geometry.

a b c (Å): 6.662 6.662 5.260
angles (deg): 90.00 90.00 90.00
Element x y z (fractional)
Cs (0.000, 0.500, 0.000)
Cs (0.500, 0.000, 0.000)
I (0.500, 0.500, 0.500)
Hg (0.000, 0.000, 0.500)
Pt (0.000, 0.000, 0.000)

Calculated values
uncorrected formation energy	-3.05	eV/f.u.

=====

[9]
The following is a DFT calculation (GGA-PBE) of crystalline MoPRh at its relaxed geometry.

a b c (Å): 3.952 5.951 7.054
angles (deg): 90.00 90.00 90.00
Element x y z (fractional)
P (0.250, 0.246, 0.114)
P (0.750, 0.754, 0.886)
P (0.250, 0.746, 0.386)
P (0.750, 0.254, 0.614)
Mo (0.750, 0.968, 0.165)
Mo (0.250, 0.032, 0.835)
Mo (0.750, 0.468, 0.335)
Mo (0.250, 0.532, 0.665)
Rh (0.250, 0.637, 0.074)
Rh (0.750, 0.363, 0.926)
Rh (0.250, 0.137, 0.426)
Rh (0.750, 0.863, 0.574)

Calculated values
energy relative to the elements	-0.60	eV per atom

=====

[10]
The following is a DFT calculation (GGA-PBE) of crystalline SmY2Ga at its relaxed geometry.

a b c (Å): 3.668 6.668 9.713
angles (deg): 90.00 90.00 105.96
Element x y z (fractional)
Sm (0.946, 0.892, 0.250)
Sm (0.054, 0.108, 0.750)
Y (0.364, 0.727, 0.544)
Y (0.636, 0.273, 0.456)
Y (0.364, 0.727, 0.956)
Y (0.636, 0.273, 0.044)
Ga (0.751, 0.502, 0.750)
Ga (0.249, 0.498, 0.250)

Calculated values
polymorph energy (0 for the lowest one)	3.0	meV/atom
energy relative to the elements	-0.29	eV per atom

=====

[11]
The following is a DFT calculation (GGA-PBE) of crystalline Pm3Tl3Cd at its relaxed geometry.

a b c (Å): 5.472 9.269 9.269
angles (deg): 120.00 90.00 90.00
Element x y z (fractional)
Pm (0.750, 0.647, 0.550)
Pm (0.750, 0.450, 0.097)
Pm (0.750, 0.903, 0.353)
Pm (0.250, 0.353, 0.450)
Pm (0.250, 0.550, 0.903)
Pm (0.250, 0.097, 0.647)
Tl (0.250, 0.808, 0.756)
Tl (0.250, 0.244, 0.052)
Tl (0.250, 0.948, 0.192)
Tl (0.750, 0.192, 0.244)
Tl (0.750, 0.756, 0.948)
Tl (0.750, 0.052, 0.808)
Cd (0.250, 0.667, 0.333)
Cd (0.750, 0.333, 0.667)

Calculated values
polymorph energy (0 for the lowest one)	103.8	meV/atom
energy relative to the elements	-0.22	eV per atom

=====

[12]
The following is a DFT calculation (GGA-PBE) of crystalline Mn2PBr at its relaxed geometry.

a b c (Å): 6.620 5.128 3.270
angles (deg): 71.43 89.98 130.19
Site moments in Bohr magnetons follow the coordinates.
Element x y z (fractional)
Br (0.500, 0.500, 0.000)  0.10
Mn (0.000, 0.000, 0.000)  3.96
Mn (0.500, 0.000, 0.500)  3.96
P (0.000, 0.500, 0.500)  -0.01

Calculated values
polymorph energy (0 for the lowest one)	458.9	meV/atom
uncorrected formation energy	1.14	eV/f.u.

=====

[13]
The following is a DFT calculation (GGA-PBE) of crystalline La2Ho3Pt2 at its relaxed geometry.

a b c (Å): 3.783 6.586 8.652
angles (deg): 72.98 77.37 73.31
Element x y z (fractional)
La (0.163, 0.489, 0.185)
La (0.837, 0.511, 0.815)
Ho (0.500, 0.000, 0.000)
Ho (0.382, 0.800, 0.435)
Ho (0.618, 0.200, 0.565)
Pt (0.167, 0.910, 0.757)
Pt (0.833, 0.090, 0.243)

Calculated values
energy relative to the elements	-0.79	eV per atom

=====

[14]
The following is a DFT calculation (GGA-PBE) of crystalline DyCu5Au7 at its relaxed geometry.

a b c (Å): 5.233 6.949 6.949
angles (deg): 81.47 67.88 67.88
Element x y z (fractional)
Dy (0.995, 0.005, 0.005)
Cu (0.503, 0.994, 0.503)
Cu (0.000, 0.994, 0.503)
Cu (0.503, 0.503, 0.994)
Cu (0.000, 0.503, 0.994)
Cu (0.733, 0.767, 0.767)
Au (0.655, 0.345, 0.345)
Au (0.328, 0.672, 0.672)
Au (0.997, 0.342, 0.664)
Au (0.997, 0.664, 0.342)
Au (0.274, 0.226, 0.226)
Au (0.507, 0.794, 0.193)
Au (0.507, 0.193, 0.794)

Calculated values
energy relative to the elements	-0.24	eV per atom

=====

[15]
The following is a DFT calculation (GGA-PBE) of crystalline FeGeC2 at its relaxed geometry.

a b c (Å): 4.366 4.366 5.508
angles (deg): 66.65 66.65 90.00
Element x y z (fractional)
C (0.598, 0.125, 0.250)
C (0.152, 0.625, 0.250)
C (0.375, 0.402, 0.750)
C (0.875, 0.848, 0.750)
Ge (0.000, 0.000, 0.000)
Ge (0.750, 0.250, 0.500)
Fe (0.500, 0.500, 0.000)
Fe (0.250, 0.750, 0.500)

Calculated values
energy relative to the elements	0.78	eV per atom

=====

[16]
The following is a DFT calculation (GGA-PBE) of crystalline BaBiSb2I at its relaxed geometry.

a b c (Å): 6.766 6.766 6.379
angles (deg): 90.00 90.00 90.00
Site moments in Bohr magnetons follow the coordinates.
Element x y z (fractional)
I (0.000, 0.000, 0.500)  0.04
Sb (0.000, 0.500, 0.000)  0.65
Sb (0.500, 0.000, 0.000)  0.65
Bi (0.500, 0.500, 0.500)  -1.25
Ba (0.000, 0.000, 0.000)  0.06

Calculated values
polymorph energy (0 for the lowest one)	742.1	meV/atom
uncorrected formation energy	2.88	eV/f.u.

=====

[17]
The following is a DFT calculation (GGA-PBE) of crystalline Pu2BeCd at its relaxed geometry.

a b c (Å): 3.024 3.024 9.114
angles (deg): 90.00 90.00 90.00
Site moments in Bohr magnetons follow the coordinates.
Element x y z (fractional)
Be (0.500, 0.500, 0.000)  -0.07
Cd (0.500, 0.500, 0.500)  -0.01
Pu (0.000, 0.000, 0.787)  5.34
Pu (0.000, 0.000, 0.213)  5.34

Calculated values
energy relative to the elements	0.14	eV per atom

=====

[18]
The following is a DFT calculation (GGA-PBE) of crystalline CsGaBi at its relaxed geometry.

a b c (Å): 5.359 5.648 8.106
angles (deg): 90.00 90.00 90.00
Element x y z (fractional)
Cs (0.811, 0.830, 0.098)
Cs (0.312, 0.330, 0.075)
Ga (0.812, 0.828, 0.576)
Ga (0.312, 0.328, 0.597)
Bi (0.812, 0.329, 0.427)
Bi (0.312, 0.829, 0.746)

Calculated values
energy relative to the elements	-0.10	eV per atom

=====

[19]
The following is a DFT calculation (GGA-PBE) of crystalline ScFeBr2 at its relaxed geometry.

a b c (Å): 3.638 3.727 7.540
angles (deg): 79.19 90.00 90.00
Site moments in Bohr magnetons follow the coordinates.
Element x y z (fractional)
Br (0.000, 0.031, 0.895)  -0.01
Br (0.500, 0.401, 0.361)  0.02
Fe (0.000, 0.298, 0.583)  1.72
Sc (0.500, 0.770, 0.661)  -0.46

Calculated values
polymorph energy (0 for the lowest one)	0.0	meV/atom
uncorrected formation energy	-2.21	eV/f.u.

=====

[20]
The following is a DFT calculation (GGA-PBE) of crystalline Pm2Sm3Tl4 at its relaxed geometry.

a b c (Å): 7.352 9.534 8.911
angles (deg): 90.00 114.37 90.00
Element x y z (fractional)
Pm (0.108, 0.568, 0.216)
Pm (0.892, 0.432, 0.784)
Pm (0.392, 0.068, 0.784)
Pm (0.608, 0.932, 0.216)
Sm (0.000, 0.000, 0.000)
Sm (0.500, 0.500, 0.000)
Sm (0.534, 0.750, 0.568)
Sm (0.966, 0.250, 0.432)
Sm (0.466, 0.250, 0.432)
Sm (0.034, 0.750, 0.568)
Tl (0.728, 0.750, 0.956)
Tl (0.772, 0.250, 0.044)
Tl (0.272, 0.250, 0.044)
Tl (0.228, 0.750, 0.956)
Tl (0.191, 0.967, 0.381)
Tl (0.809, 0.033, 0.619)
Tl (0.309, 0.467, 0.619)
Tl (0.691, 0.533, 0.381)

Calculated values
polymorph energy (0 for the lowest one)	84.2	meV/atom
energy relative to the elements	-0.23	eV per atom

=====

[21]
The following is a DFT calculation (GGA-PBE) of crystalline Sr2TiSe2 at its relaxed geometry.

a b c (Å): 7.848 7.848 4.307
angles (deg): 90.00 90.00 90.00
Site moments in Bohr magnetons follow the coordinates.
Element x y z (fractional)
Sr (0.155, 0.655, 0.500)  0.03
Sr (0.655, 0.845, 0.500)  0.03
Sr (0.845, 0.345, 0.500)  0.03
Sr (0.345, 0.155, 0.500)  0.03
Se (0.340, 0.840, 0.000)  -0.02
Se (0.840, 0.660, 0.000)  -0.02
Se (0.660, 0.160, 0.000)  -0.02
Se (0.160, 0.340, 0.000)  -0.02
Ti (0.000, 0.000, 0.000)  1.57
Ti (0.500, 0.500, 0.000)  1.57

Calculated values
polymorph energy (0 for the lowest one)	0.0	meV/atom
uncorrected formation energy	-5.39	eV/f.u.

=====

[22]
The following is a DFT calculation (GGA-PBE) of crystalline HfPa2B at its relaxed geometry.

a b c (Å): 3.302 3.302 9.342
angles (deg): 79.82 79.82 60.00
Element x y z (fractional)
B (0.500, 0.500, 0.500)
Pa (0.110, 0.110, 0.671)
Pa (0.890, 0.890, 0.329)
Hf (0.000, 0.000, 0.000)

Calculated values
energy relative to the elements	0.30	eV per atom

=====

[23]
The following is a DFT calculation (GGA-PBE) of crystalline LiTe2MoI at its relaxed geometry.

a b c (Å): 5.230 5.230 6.148
angles (deg): 90.00 90.00 90.00
Site moments in Bohr magnetons follow the coordinates.
Element x y z (fractional)
I (0.000, 0.000, 0.500)  0.00
Mo (0.000, 0.000, 0.000)  0.16
Te (0.000, 0.500, 0.000)  0.00
Te (0.500, 0.000, 0.000)  0.00
Li (0.500, 0.500, 0.500)  0.00

Calculated values
polymorph energy (0 for the lowest one)	0.0	meV/atom
uncorrected formation energy	0.57	eV/f.u.

=====

[24]
The following is a DFT calculation (GGA-PBE) of crystalline Mn2FeCo5 at its relaxed geometry.

a b c (Å): 3.484 3.484 7.473
angles (deg): 103.48 103.48 90.00
Site moments in Bohr magnetons follow the coordinates.
Element x y z (fractional)
Mn (0.750, 0.750, 0.501)  -0.24
Mn (0.250, 0.250, 0.499)  -0.24
Fe (0.000, 0.000, 0.000)  2.59
Co (0.500, 0.500, 0.000)  1.50
Co (0.872, 0.372, 0.744)  0.88
Co (0.372, 0.872, 0.744)  0.88
Co (0.128, 0.628, 0.256)  0.88
Co (0.628, 0.128, 0.256)  0.88

Calculated values
energy relative to the elements	0.06	eV per atom